This record from Alexandria describes a geometry-optimized MgPt3 structure. The functional is PBEsol.

Lattice parameters (Å, degrees): 2.784 2.784 9.000 90.00 90.00 120.00
Fractional positions:
Mg 0.000 0.000 0.000
Pt 0.000 0.000 0.500
Pt 0.667 0.333 0.238
Pt 0.667 0.333 0.762

Summary:
ρ	16.75	g cm⁻³
SG	P-6m2
VASP energy	-5.946	eV/atom
ΔH_f (0 K)	-1.18	eV/f.u.
DOS at the Fermi energy	3.66	states/eV/cell